No. 1
PBE-GGA ZnCrCl, relaxed; spin magnetization = 1.66 μB/atom; E_form (uncorrected) = 0.250 eV/atom; ΔE to the lowest computed polymorph = 0.195 eV/atom; DOS at the Fermi energy = 0.55 states/eV per cell
1.0
0.000 3.229 3.229
3.229 0.000 3.229
3.229 3.229 0.000
Zn Cr Cl
1 1 1
direct
0.000 0.000 0.000
0.250 0.250 0.250
0.500 0.500 0.500


No. 2
PBE-GGA ZnCrCl6, relaxed; spin magnetization = 0.25 μB/atom; E_form (uncorrected) = -0.883 eV/atom; DOS at the Fermi energy = 4.80 states/eV per cell
1.0
3.089 -6.092 0.000
3.089 6.092 0.000
-2.384 0.000 5.689
Zn Cr Cl
1 1 6
direct
0.000 0.000 0.000
0.500 0.500 0.500
0.119 0.387 0.253
0.282 0.282 0.719
0.387 0.119 0.253
0.613 0.881 0.747
0.718 0.718 0.281
0.881 0.613 0.747


No. 3
PBE-GGA ZnCrCl, relaxed; spin magnetization = 1.66 μB/atom; E_form (uncorrected) = 0.541 eV/atom; ΔE to the lowest computed polymorph = 0.485 eV/atom; DOS at the Fermi energy = 0.80 states/eV per cell
1.0
0.000 3.294 3.294
3.294 0.000 3.294
3.294 3.294 0.000
Zn Cr Cl
1 1 1
direct
0.000 0.000 0.000
0.750 0.750 0.750
0.250 0.250 0.250


No. 4
PBE-GGA ZnCrCl4, relaxed; spin magnetization = 0.32 μB/atom; E_form (uncorrected) = 0.609 eV/atom; ΔE to the lowest computed polymorph = 1.589 eV/atom; DOS at the Fermi energy = 8.78 states/eV per cell
1.0
0.000 4.177 4.177
4.177 0.000 4.177
4.177 4.177 0.000
Zn Cr Cl
1 1 4
direct
0.000 0.000 0.000
0.250 0.250 0.250
0.125 0.625 0.625
0.625 0.125 0.625
0.625 0.625 0.125
0.625 0.625 0.625


No. 5
PBE-GGA ZnCrCl, relaxed; spin magnetization = 0.00 μB/atom; E_form (uncorrected) = 0.055 eV/atom; ΔE to the lowest computed polymorph = 0.000 eV/atom; DOS at the Fermi energy = 1.83 states/eV per cell
1.0
2.953 0.000 0.000
-1.476 2.557 0.000
0.000 0.000 7.299
Zn Cr Cl
1 1 1
direct
0.000 0.000 0.000
0.333 0.667 0.725
0.667 0.333 0.525


No. 6
PBE-GGA ZrCr4Cl, relaxed; spin magnetization = 0.00 μB/atom; E_form (uncorrected) = 0.609 eV/atom; DOS at the Fermi energy = 6.69 states/eV per cell
1.0
0.000 3.517 3.517
3.517 0.000 3.517
3.517 3.517 0.000
Zr Cr Cl
1 4 1
direct
0.000 0.000 0.000
0.376 0.376 0.376
0.376 0.376 0.873
0.376 0.873 0.376
0.873 0.376 0.376
0.750 0.750 0.750


No. 7
PBE-GGA ZrCrCl, relaxed; spin magnetization = 1.05 μB/atom; E_form (uncorrected) = -0.193 eV/atom; ΔE to the lowest computed polymorph = 0.000 eV/atom; DOS at the Fermi energy = 2.02 states/eV per cell
1.0
3.262 0.000 0.000
-1.631 2.825 0.000
0.000 0.000 6.840
Zr Cr Cl
1 1 1
direct
0.000 0.000 0.000
0.333 0.667 0.690
0.667 0.333 0.274


No. 8
PBE-GGA ZrCrCl, relaxed; spin magnetization = 0.99 μB/atom; E_form (uncorrected) = -0.074 eV/atom; ΔE to the lowest computed polymorph = 0.119 eV/atom; DOS at the Fermi energy = 2.46 states/eV per cell
1.0
0.000 2.347 6.492
2.063 0.000 6.492
2.063 2.347 0.000
Zr Cr Cl
1 1 1
direct
0.000 0.000 0.000
0.356 0.356 0.644
0.641 0.641 0.359